! Tl3Hg3Te PBE optimized geometry; values from VASP
! E_form (uncorrected) = -0.0825 eV/atom
! SG = P6_3/m
! E above lowest polymorph = 0 meV/atom
&SYSTEM
  ibrav = 0, nat = 14, ntyp = 3
/
ATOMIC_SPECIES
Tl 204.38 Tl.upf
Hg 200.59 Hg.upf
Te 127.60 Te.upf
CELL_PARAMETERS angstrom
5.040 0.000 0.000
0.000 8.729 -5.040
0.000 0.000 10.079
ATOMIC_POSITIONS crystal
Tl 0.750 0.634 0.540
Tl 0.750 0.905 0.366
Tl 0.250 0.540 0.905
Tl 0.750 0.460 0.095
Tl 0.250 0.095 0.634
Tl 0.250 0.366 0.460
Hg 0.750 0.007 0.797
Hg 0.750 0.790 0.993
Hg 0.250 0.797 0.790
Hg 0.750 0.203 0.210
Hg 0.250 0.210 0.007
Hg 0.250 0.993 0.203
Te 0.250 0.667 0.333
Te 0.750 0.333 0.667

=====

! Eu2ThZn PBE optimized geometry; values from VASP
! SG = R-3m
! E above lowest polymorph = 209 meV/atom
! Calculated formation energy = 0.211 eV/atom
&SYSTEM
  ibrav = 0, nat = 4, ntyp = 3
/
ATOMIC_SPECIES
Eu 151.96 Eu.upf
Zn 65.41 Zn.upf
Th 232.04 Th.upf
CELL_PARAMETERS angstrom
-2.084 2.552 1.246
-0.791 0.110 3.431
8.581 7.709 3.541
ATOMIC_POSITIONS crystal
Eu 0.099 0.099 0.704
Eu 0.901 0.901 0.296
Zn 0.500 0.500 0.500
Th 0.000 0.000 0.000

=====

! KLaO2F PBE optimized geometry; values from VASP
! E_form (uncorrected) = -2.5554 eV/atom
! SG = P4/mmm
&SYSTEM
  ibrav = 0, nat = 5, ntyp = 4
/
ATOMIC_SPECIES
K 39.10 K.upf
F 19.00 F.upf
O 16.00 O.upf
La 138.91 La.upf
CELL_PARAMETERS angstrom
4.557 0.000 0.000
0.000 4.557 0.000
0.000 0.000 4.842
ATOMIC_POSITIONS crystal
K 0.500 0.500 0.500
F 0.000 0.000 0.500
O 0.000 0.500 0.000
O 0.500 0.000 0.000
La 0.000 0.000 0.000

=====

! Ba2H2F7 PBE optimized geometry; values from VASP
! DFT total energy = -4.806 eV per atom
! SG = C2/m
&SYSTEM
  ibrav = 0, nat = 11, ntyp = 3
/
ATOMIC_SPECIES
Ba 137.33 Ba.upf
H 1.01 H.upf
F 19.00 F.upf
CELL_PARAMETERS angstrom
-4.270 1.338 0.521
0.638 -1.726 -7.197
0.670 -6.071 4.228
ATOMIC_POSITIONS crystal
Ba 0.000 0.308 0.692
Ba 0.000 0.692 0.308
H 0.326 0.835 0.835
H 0.674 0.165 0.165
F 0.674 0.894 0.495
F 0.674 0.495 0.894
F 0.175 0.694 0.694
F 0.500 0.000 0.000
F 0.825 0.306 0.306
F 0.326 0.505 0.106
F 0.326 0.106 0.505

=====

! AcPr4Ir4 PBE optimized geometry; values from VASP
! SG = P4_2/n
! Calculated formation energy = -0.508 eV/atom
&SYSTEM
  ibrav = 0, nat = 18, ntyp = 3
/
ATOMIC_SPECIES
Ac 227.00 Ac.upf
Pr 140.91 Pr.upf
Ir 192.22 Ir.upf
CELL_PARAMETERS angstrom
5.850 0.000 0.000
0.000 9.318 0.000
0.000 0.000 9.318
ATOMIC_POSITIONS crystal
Ac 0.000 0.000 0.000
Ac 0.500 0.500 0.500
Pr 0.399 0.330 0.905
Pr 0.899 0.595 0.830
Pr 0.399 0.670 0.095
Pr 0.101 0.170 0.595
Pr 0.601 0.905 0.670
Pr 0.101 0.830 0.405
Pr 0.899 0.405 0.170
Pr 0.601 0.095 0.330
Ir 0.605 0.787 0.365
Ir 0.605 0.213 0.635
Ir 0.105 0.865 0.713
Ir 0.895 0.287 0.865
Ir 0.895 0.713 0.135
Ir 0.395 0.365 0.213
Ir 0.395 0.635 0.787
Ir 0.105 0.135 0.287

=====

! Y5AgHg6 PBE optimized geometry; values from VASP
! SG = C2/m
! Calculated formation energy = -0.435 eV/atom
&SYSTEM
  ibrav = 0, nat = 12, ntyp = 3
/
ATOMIC_SPECIES
Y 88.91 Y.upf
Hg 200.59 Hg.upf
Ag 107.87 Ag.upf
CELL_PARAMETERS angstrom
4.974 -0.006 -1.396
-3.741 7.313 -3.791
-0.167 -1.054 8.984
ATOMIC_POSITIONS crystal
Y 0.500 0.156 0.844
Y 0.000 0.328 0.672
Y 0.500 0.500 0.500
Y 0.000 0.672 0.328
Y 0.500 0.844 0.156
Hg 0.248 0.084 0.413
Hg 0.752 0.587 0.916
Hg 0.756 0.257 0.257
Hg 0.244 0.743 0.743
Hg 0.248 0.413 0.084
Hg 0.752 0.916 0.587
Ag 0.000 0.000 0.000

=====

Copy entry 4 word for word.
! Ba2H2F7 PBE optimized geometry; values from VASP
! DFT total energy = -4.806 eV per atom
! SG = C2/m
&SYSTEM
  ibrav = 0, nat = 11, ntyp = 3
/
ATOMIC_SPECIES
Ba 137.33 Ba.upf
H 1.01 H.upf
F 19.00 F.upf
CELL_PARAMETERS angstrom
-4.270 1.338 0.521
0.638 -1.726 -7.197
0.670 -6.071 4.228
ATOMIC_POSITIONS crystal
Ba 0.000 0.308 0.692
Ba 0.000 0.692 0.308
H 0.326 0.835 0.835
H 0.674 0.165 0.165
F 0.674 0.894 0.495
F 0.674 0.495 0.894
F 0.175 0.694 0.694
F 0.500 0.000 0.000
F 0.825 0.306 0.306
F 0.326 0.505 0.106
F 0.326 0.106 0.505